Record 1
Compound: SrC5
Source: the Alexandria database
Functional: PBE
Structure: relaxed

ΔE to the lowest computed polymorph   1663 meV/atom
Uncorrected energy   -5.56 eV per atom
E_form   2.404 eV/atom
Total magnetization   0.011 μB/f.u.

a b c (Å): 6.6660 6.6660 6.6660
angles (deg): 90.00 90.00 90.00
Space group F-43m (No. 216)
One atom of each set of equivalent atoms:
Sr (0.0000, 0.0000, 0.0000) x4
C (0.0823, 0.0823, 0.5823) x16
C (0.2500, 0.2500, 0.2500) x4


Record 2
Compound: PmY4Tm3
Source: the Alexandria database
Functional: PBE
Structure: relaxed

ΔE to the lowest computed polymorph   0 meV/atom
Uncorrected energy   -5.50 eV per atom
E_form   0.003 eV/atom
Total magnetization   0.000 μB/f.u.

a b c (Å): 11.2479 7.2673 6.2731
angles (deg): 90.00 90.00 90.00
Space group Pmn2_1 (No. 31)
One atom of each set of equivalent atoms:
Pm (0.0000, 0.1232, 0.0000) x2
Y (0.0000, 0.3733, 0.4975) x2
Y (0.0000, 0.6270, 0.9956) x2
Y (0.2483, 0.6264, 0.3336) x4
Tm (0.0000, 0.8763, 0.4997) x2
Tm (0.2500, 0.1234, 0.3305) x4


Record 3
Compound: ScTl2Se
Source: the Alexandria database
Functional: PBE
Structure: relaxed

E_form (uncorrected)   -0.3303 eV/atom
Uncorrected energy   -3.97 eV per atom
Total magnetization   0.000 μB/f.u.

a b c (Å): 4.1249 6.3001 4.1396
angles (deg): 90.00 90.53 90.00
Space group P2/m (No. 10)
One atom of each set of equivalent atoms:
Sc (0.0000, 0.0000, 0.0000) x1
Tl (0.2483, 0.5000, 0.2483) x2
Se (0.5000, 0.0000, 0.5000) x1